# RbTa3Si

Crystalline RbTa3Si at its relaxed geometry (PBE, Alexandria).

The total energy is -6.93 eV/atom. Its space group is Pm-3m. The total magnetic moment comes out at 0.000 μB per formula unit. For the raw formation energy, the calculation gives 1.46 eV/atom.

Cell lengths 4.8973, 4.8973, 4.8973 Å; angles 90.00, 90.00, 90.00 degrees
With the nearest neighbours (Å) after each atom.
Fractional coordinates of all 5 atoms:
Rb: 0.0000 0.0000 0.0000  12 Ta 3.46
Ta: 0.0000 0.5000 0.5000  2 Si 2.45
Ta: 0.5000 0.0000 0.5000  2 Si 2.45
Ta: 0.5000 0.5000 0.0000  2 Si 2.45
Si: 0.5000 0.5000 0.5000  6 Ta 2.45